Record 1
Entry from the Alexandria database: RbHgO3 after structural relaxation (PBE-GGA).

## Properties
total DFT energy (no corrections): -0.1203 Ha/atom
formation energy (no corrections): -0.0448 eV/atom

Cell lengths 4.294, 4.294, 4.294 Å; angles 90.00, 90.00, 90.00 degrees
Fractional coordinates of all 5 atoms:
Rb: 0.000 0.000 0.000
Hg: 0.500 0.500 0.500
O: 0.000 0.500 0.500
O: 0.500 0.000 0.500
O: 0.500 0.500 0.000


Record 2
Entry from the Alexandria database: Cd8Hg5Au after structural relaxation (PBE-GGA).

## Properties
total DFT energy (no corrections): -0.0317 Ha/atom
ΔH_f (0 K): 2 meV/atom

Cell lengths 7.627, 7.627, 7.627 Å; angles 106.21, 106.21, 116.20 degrees
Fractional coordinates of all 14 atoms:
Cd: 0.130 0.478 0.091
Cd: 0.387 0.039 0.909
Cd: 0.401 0.074 0.346
Cd: 0.522 0.613 0.652
Cd: 0.728 0.054 0.654
Cd: 0.926 0.272 0.327
Cd: 0.946 0.599 0.673
Cd: 0.961 0.870 0.348
Hg: 0.000 0.000 0.000
Hg: 0.199 0.290 0.729
Hg: 0.530 0.801 0.092
Hg: 0.561 0.470 0.271
Hg: 0.710 0.439 0.908
Au: 0.250 0.750 0.500


Record 3
Entry from the Alexandria database: LiPm5Ge6 after structural relaxation (PBE-GGA).

## Properties
total DFT energy (no corrections): -0.1853 Ha/atom
ΔH_f (0 K): -595 meV/atom

Cell lengths 8.749, 8.749, 4.630 Å; angles 105.26, 105.26, 114.66 degrees
Fractional coordinates of all 12 atoms:
Li: 0.000 0.000 0.000
Pm: 0.146 0.854 0.500
Pm: 0.329 0.671 0.000
Pm: 0.500 0.500 0.500
Pm: 0.671 0.329 0.000
Pm: 0.854 0.146 0.500
Ge: 0.083 0.419 0.251
Ge: 0.250 0.250 0.751
Ge: 0.419 0.083 0.251
Ge: 0.581 0.917 0.749
Ge: 0.750 0.750 0.249
Ge: 0.917 0.581 0.749


Question: total DFT energy (no corrections) of number 3 (LiPm5Ge6)?
Answer: -0.1853 Ha/atom